1.
# Na2ThI5

A geometry-optimized Na2ThI5 structure (PBE-GGA, Alexandria).

Summary:
Density of states at the Fermi level = 0.68 states/eV per cell
Space group = Cm (8)
V = 492.1 Å³/f.u.
E_form (uncorrected) = -1.020 eV/atom

Unit cell a=8.8134 b=8.8134 c=8.1502 alpha=112.72 beta=112.72 gamma=60.31
Atoms (fractional coordinates):
Na1 0.0000 0.0000 0.0000
Na2 0.5785 0.5785 0.5331
Th1 0.6019 0.6019 0.0039
I1 0.2377 0.7162 0.7166
I2 0.3772 0.8678 0.2958
I3 0.7162 0.2377 0.7166
I4 0.8157 0.8157 0.0905
I5 0.8678 0.3772 0.2958



2.
# NaTi3I

A geometry-optimized NaTi3I structure (PBE-GGA, Alexandria).

Summary:
Density of states at the Fermi level = 9.35 states/eV per cell
Space group = Pm-3m (221)
Excess energy over the best structure of this formula in the dataset = 0.0000 eV per atom
V = 131.1 Å³/f.u.
E_form (uncorrected) = 1.046 eV/atom

Unit cell a=5.0802 b=5.0802 c=5.0802 alpha=90.00 beta=90.00 gamma=90.00
Atoms (fractional coordinates):
Na1 0.0000 0.0000 0.0000
Ti1 0.0000 0.5000 0.5000
Ti2 0.5000 0.0000 0.5000
Ti3 0.5000 0.5000 0.0000
I1 0.5000 0.5000 0.5000



3.
# NaTiI4

A geometry-optimized NaTiI4 structure (PBE-GGA, Alexandria).

Summary:
Density of states at the Fermi level = 2.61 states/eV per cell
Space group = C2/m (12)
V = 243.4 Å³/f.u.
E_form (uncorrected) = -0.892 eV/atom

Unit cell a=8.5013 b=8.5013 c=7.7938 alpha=115.86 beta=115.86 gamma=28.95
Atoms (fractional coordinates):
Na1 0.0000 0.0000 0.0000
Ti1 0.5000 0.5000 0.5000
I1 0.1097 0.1097 0.7459
I2 0.3871 0.3871 0.6780
I3 0.6129 0.6129 0.3220
I4 0.8903 0.8903 0.2541



4.
# Na3TiI

A geometry-optimized Na3TiI structure (PBE-GGA, Alexandria).

Summary:
Density of states at the Fermi level = 9.15 states/eV per cell
Space group = Pm-3m (221)
Excess energy over the best structure of this formula in the dataset = 0.0000 eV per atom
V = 210.7 Å³/f.u.
E_form (uncorrected) = 0.440 eV/atom

Unit cell a=5.9507 b=5.9507 c=5.9507 alpha=90.00 beta=90.00 gamma=90.00
Atoms (fractional coordinates):
Na1 0.0000 0.0000 0.5000
Na2 0.0000 0.5000 0.0000
Na3 0.5000 0.0000 0.0000
Ti1 0.5000 0.5000 0.5000
I1 0.0000 0.0000 0.0000